Material: PmTmInSn
Method: DFT, PBE
State: relaxed

Lattice parameters (Å, degrees): 7.5909 7.5909 7.5909 90.00 90.00 90.00
Sites, in units of the cell vectors:
Pm1 0.0000 0.0000 0.0000
Pm2 0.0000 0.5000 0.5000
Pm3 0.5000 0.0000 0.5000
Pm4 0.5000 0.5000 0.0000
Tm1 0.0000 0.0000 0.5000
Tm2 0.0000 0.5000 0.0000
Tm3 0.5000 0.0000 0.0000
Tm4 0.5000 0.5000 0.5000
In1 0.2500 0.2500 0.7500
In2 0.2500 0.7500 0.2500
In3 0.7500 0.2500 0.2500
In4 0.7500 0.7500 0.7500
Sn1 0.2500 0.2500 0.2500
Sn2 0.2500 0.7500 0.7500
Sn3 0.7500 0.2500 0.7500
Sn4 0.7500 0.7500 0.2500

Summary:
space group = F-43m (216)
formation enthalpy at 0 K = -491 meV per atom

=====

Material: NaLu2Zr
Method: DFT, PBE
State: relaxed

Lattice parameters (Å, degrees): 3.3788 3.3788 10.1941 90.00 90.00 90.00
Sites, in units of the cell vectors:
Na1 0.0000 0.0000 0.0000
Lu1 0.5000 0.5000 0.2863
Lu2 0.5000 0.5000 0.7137
Zr1 0.0000 0.0000 0.5000

Summary:
space group = P4/mmm (123)
formation enthalpy at 0 K = 115 meV per atom

=====

Material: GaPb3I
Method: DFT, PBE
State: relaxed

Lattice parameters (Å, degrees): 6.0379 6.0379 6.0379 90.00 90.00 90.00
Sites, in units of the cell vectors:
Ga1 0.0000 0.0000 0.0000
Pb1 0.0000 0.5000 0.5000
Pb2 0.5000 0.0000 0.5000
Pb3 0.5000 0.5000 0.0000
I1 0.5000 0.5000 0.5000

Summary:
space group = Pm-3m (221)
energy relative to the lowest polymorph listed for this composition = 459 meV/atom

=====

Material: Ac5PmPr2Dy
Method: DFT, PBE
State: relaxed

Lattice parameters (Å, degrees): 11.9358 11.9358 11.9358 138.24 138.24 60.53
Sites, in units of the cell vectors:
Ac1 0.0000 0.0000 0.0000
Ac2 0.0868 0.5868 0.9496
Ac3 0.1371 0.0868 0.5000
Ac4 0.3629 0.8629 0.9496
Ac5 0.4132 0.3629 0.5000
Ac6 0.5000 0.5000 0.0000
Ac7 0.5868 0.6371 0.5000
Ac8 0.6371 0.1371 0.0504
Ac9 0.8629 0.9132 0.5000
Ac10 0.9132 0.4132 0.0504
Pm1 0.2500 0.2500 0.0000
Pm2 0.7500 0.7500 0.0000
Pr1 0.1224 0.3776 0.5000
Pr2 0.3776 0.8776 0.2552
Pr3 0.6224 0.1224 0.7448
Pr4 0.8776 0.6224 0.5000
Dy1 0.2500 0.7500 0.5000
Dy2 0.7500 0.2500 0.5000

Summary:
space group = I4/mcm (140)
formation enthalpy at 0 K = 281 meV per atom

=====

Material: Ba3SrPb
Method: DFT, PBE
State: relaxed

Lattice parameters (Å, degrees): 6.6281 6.6281 6.6281 90.00 90.00 90.00
Sites, in units of the cell vectors:
Ba1 0.0000 0.0000 0.5000
Ba2 0.0000 0.5000 0.0000
Ba3 0.5000 0.0000 0.0000
Sr1 0.0000 0.0000 0.0000
Pb1 0.5000 0.5000 0.5000

Summary:
space group = Pm-3m (221)
energy relative to the lowest polymorph listed for this composition = 723 meV/atom
formation enthalpy at 0 K = 619 meV per atom

=====

Material: LiSnAsAu
Method: DFT, PBE
State: relaxed

Lattice parameters (Å, degrees): 6.8748 6.8748 6.8748 90.00 90.00 90.00
Sites, in units of the cell vectors:
Li1 0.0000 0.0000 0.0000
Li2 0.0000 0.5000 0.5000
Li3 0.5000 0.0000 0.5000
Li4 0.5000 0.5000 0.0000
Sn1 0.0000 0.0000 0.5000
Sn2 0.0000 0.5000 0.0000
Sn3 0.5000 0.0000 0.0000
Sn4 0.5000 0.5000 0.5000
As1 0.2500 0.2500 0.7500
As2 0.2500 0.7500 0.2500
As3 0.7500 0.2500 0.2500
As4 0.7500 0.7500 0.7500
Au1 0.2500 0.2500 0.2500
Au2 0.2500 0.7500 0.7500
Au3 0.7500 0.2500 0.7500
Au4 0.7500 0.7500 0.2500

Summary:
space group = F-43m (216)
formation enthalpy at 0 K = -158 meV per atom

=====

Material: Sm4C2I3
Method: DFT, PBE
State: relaxed

Lattice parameters (Å, degrees): 7.8444 7.8444 9.2526 104.24 104.24 27.51
Sites, in units of the cell vectors:
Sm1 0.0970 0.0970 0.2155
Sm2 0.3127 0.3127 0.4042
Sm3 0.6873 0.6873 0.5958
Sm4 0.9030 0.9030 0.7845
C1 0.3062 0.3062 0.6619
C2 0.6938 0.6938 0.3381
I1 0.0000 0.0000 0.5000
I2 0.4008 0.4008 0.0932
I3 0.5992 0.5992 0.9068

Summary:
space group = C2/m (12)
uncorrected energy = -0.198 hartree per atom

=====

Material: Mg2Cd2Si
Method: DFT, PBE
State: relaxed

Lattice parameters (Å, degrees): 7.0361 7.0361 4.5080 90.00 90.00 90.00
Sites, in units of the cell vectors:
Mg1 0.1538 0.3462 0.0000
Mg2 0.3462 0.8462 0.0000
Mg3 0.6538 0.1538 0.0000
Mg4 0.8462 0.6538 0.0000
Cd1 0.1528 0.6528 0.5000
Cd2 0.3472 0.1528 0.5000
Cd3 0.6528 0.8472 0.5000
Cd4 0.8472 0.3472 0.5000
Si1 0.0000 0.0000 0.0000
Si2 0.5000 0.5000 0.0000

Summary:
space group = P4/mbm (127)
energy relative to the lowest polymorph listed for this composition = 18 meV/atom

=====

Material: Ba2NiBiH
Method: DFT, PBE
State: relaxed

Lattice parameters (Å, degrees): 6.0819 6.0819 3.7268 90.00 90.00 90.00
Sites, in units of the cell vectors:
Ba1 0.0000 0.5000 0.0000
Ba2 0.5000 0.0000 0.0000
Ni1 0.0000 0.0000 0.5000
Bi1 0.5000 0.5000 0.5000
H1 0.0000 0.0000 0.0000

Summary:
space group = P4/mmm (123)
uncorrected energy = -0.135 hartree per atom

=====

Material: Pm6Pr3Ho2Tl
Method: DFT, PBE
State: relaxed

Lattice parameters (Å, degrees): 6.2875 6.2875 11.8774 95.18 95.18 120.21
Sites, in units of the cell vectors:
Pm1 0.0789 0.4054 0.2418
Pm2 0.2471 0.2471 0.7557
Pm3 0.4054 0.0789 0.2418
Pm4 0.5946 0.9211 0.7582
Pm5 0.7529 0.7529 0.2443
Pm6 0.9211 0.5946 0.7582
Pr1 0.1691 0.8309 0.5000
Pr2 0.5000 0.5000 0.5000
Pr3 0.8309 0.1691 0.5000
Ho1 0.3342 0.6658 0.0000
Ho2 0.6658 0.3342 0.0000
Tl1 0.0000 0.0000 0.0000

Summary:
space group = C2/m (12)
formation enthalpy at 0 K = -7 meV per atom

=====

Material: Li2InGaTc
Method: DFT, PBE
State: relaxed

Lattice parameters (Å, degrees): 4.8717 4.8717 4.8046 90.00 90.00 90.00
Sites, in units of the cell vectors:
Li1 0.0000 0.5000 0.0000
Li2 0.5000 0.0000 0.0000
In1 0.0000 0.0000 0.5000
Ga1 0.5000 0.5000 0.5000
Tc1 0.5000 0.5000 0.0000

Summary:
space group = P4/mmm (123)
formation enthalpy at 0 K = 668 meV per atom

=====

Material: Nb2SiI
Method: DFT, PBE
State: relaxed

Lattice parameters (Å, degrees): 4.1846 4.1846 18.7805 90.00 90.00 90.00
Sites, in units of the cell vectors:
Nb1 0.2325 0.2500 0.1250
Nb2 0.2500 0.7325 0.3750
Nb3 0.2500 0.7675 0.8750
Nb4 0.2675 0.2500 0.6250
Nb5 0.7325 0.7500 0.6250
Nb6 0.7500 0.2325 0.8750
Nb7 0.7500 0.2675 0.3750
Nb8 0.7675 0.7500 0.1250
Si1 0.0000 0.0000 0.0000
Si2 0.0000 0.5000 0.2500
Si3 0.5000 0.0000 0.7500
Si4 0.5000 0.5000 0.5000
I1 0.0000 0.0000 0.5000
I2 0.0000 0.5000 0.7500
I3 0.5000 0.0000 0.2500
I4 0.5000 0.5000 0.0000

Summary:
space group = I-42d (122)
energy relative to the lowest polymorph listed for this composition = 405 meV/atom

=====

Material: K3Ac2ThS6
Method: DFT, PBE
State: relaxed

Lattice parameters (Å, degrees): 9.9320 9.9320 8.9770 105.52 105.52 25.07
Sites, in units of the cell vectors:
K1 0.0000 0.0000 0.0000
K2 0.3322 0.3322 0.6666
K3 0.6678 0.6678 0.3334
Ac1 0.3345 0.3345 0.1671
Ac2 0.6655 0.6655 0.8329
Th1 0.0000 0.0000 0.5000
S1 0.1518 0.1518 0.5905
S2 0.1733 0.1733 0.0678
S3 0.4963 0.4963 0.2857
S4 0.5037 0.5037 0.7143
S5 0.8267 0.8267 0.9322
S6 0.8482 0.8482 0.4095

Summary:
space group = C2/m (12)
uncorrected energy = -0.200 hartree per atom

=====

Material: Rb2LiMnH6
Method: DFT, PBE
State: relaxed

Lattice parameters (Å, degrees): 5.8939 5.8939 4.8903 90.00 90.00 120.00
Sites, in units of the cell vectors:
Rb1 0.3333 0.6667 0.2485
Rb2 0.6667 0.3333 0.7515
Li1 0.0000 0.0000 0.5000
Mn1 0.0000 0.0000 0.0000
H1 0.1313 0.2627 0.7939
H2 0.1313 0.8687 0.7939
H3 0.2627 0.1313 0.2061
H4 0.7373 0.8687 0.7939
H5 0.8687 0.1313 0.2061
H6 0.8687 0.7373 0.2061

Summary:
space group = P-3m1 (164)
uncorrected energy = -0.129 hartree per atom

=====

Material: Cd10Hg6Pd
Method: DFT, PBE
State: relaxed

Lattice parameters (Å, degrees): 8.8739 8.8739 5.8273 90.00 90.00 120.00
Sites, in units of the cell vectors:
Cd1 0.0000 0.2463 0.2854
Cd2 0.0000 0.7537 0.7146
Cd3 0.2463 0.0000 0.2854
Cd4 0.2463 0.2463 0.7146
Cd5 0.3333 0.6667 0.0000
Cd6 0.3333 0.6667 0.5000
Cd7 0.6667 0.3333 0.0000
Cd8 0.6667 0.3333 0.5000
Cd9 0.7537 0.0000 0.7146
Cd10 0.7537 0.7537 0.2854
Hg1 0.0000 0.3911 0.7659
Hg2 0.0000 0.6089 0.2341
Hg3 0.3911 0.0000 0.7659
Hg4 0.3911 0.3911 0.2341
Hg5 0.6089 0.0000 0.2341
Hg6 0.6089 0.6089 0.7659
Pd1 0.0000 0.0000 0.0000

Summary:
space group = P-31m (162)
formation enthalpy at 0 K = 7 meV per atom

=====

Material: CaScCd2
Method: DFT, PBE
State: relaxed

Lattice parameters (Å, degrees): 3.5681 3.5681 29.1544 90.00 90.00 120.00
Sites, in units of the cell vectors:
Ca1 0.0000 0.0000 0.0000
Ca2 0.3333 0.6667 0.6667
Ca3 0.6667 0.3333 0.3333
Sc1 0.0000 0.0000 0.5000
Sc2 0.3333 0.6667 0.1667
Sc3 0.6667 0.3333 0.8333
Cd1 0.0000 0.0000 0.2446
Cd2 0.0000 0.0000 0.7554
Cd3 0.3333 0.6667 0.4221
Cd4 0.3333 0.6667 0.9113
Cd5 0.6667 0.3333 0.0887
Cd6 0.6667 0.3333 0.5779

Summary:
space group = R-3m (166)
formation enthalpy at 0 K = -103 meV per atom

=====

Material: Sm8CuPt2
Method: DFT, PBE
State: relaxed

Lattice parameters (Å, degrees): 7.7134 7.7134 6.1704 99.74 99.74 112.43
Sites, in units of the cell vectors:
Sm1 0.0000 0.0000 0.0000
Sm2 0.0157 0.2780 0.5622
Sm3 0.1336 0.5716 0.1842
Sm4 0.2780 0.0157 0.5622
Sm5 0.4352 0.6960 0.7900
Sm6 0.5716 0.1336 0.1842
Sm7 0.6960 0.4352 0.7900
Sm8 0.7205 0.7205 0.3737
Cu1 0.3640 0.3640 0.3730
Pt1 0.0436 0.6724 0.6869
Pt2 0.6724 0.0436 0.6869

Summary:
space group = Cm (8)
formation enthalpy at 0 K = -350 meV per atom

=====

Material: K2OF
Method: DFT, PBE
State: relaxed

Lattice parameters (Å, degrees): 6.7486 6.7486 8.7898 90.00 90.00 90.00
Sites, in units of the cell vectors:
K1 0.2361 0.7500 0.1250
K2 0.2500 0.2361 0.8750
K3 0.2500 0.2639 0.3750
K4 0.2639 0.7500 0.6250
K5 0.7361 0.2500 0.6250
K6 0.7500 0.7361 0.3750
K7 0.7500 0.7639 0.8750
K8 0.7639 0.2500 0.1250
O1 0.0000 0.0000 0.5000
O2 0.0000 0.5000 0.7500
O3 0.5000 0.0000 0.2500
O4 0.5000 0.5000 0.0000
F1 0.0000 0.0000 0.0000
F2 0.0000 0.5000 0.2500
F3 0.5000 0.0000 0.7500
F4 0.5000 0.5000 0.5000

Summary:
space group = I-42d (122)
energy relative to the lowest polymorph listed for this composition = 0 meV/atom

=====

Material: MgZr2Cl
Method: DFT, PBE
State: relaxed

Lattice parameters (Å, degrees): 4.1784 4.1784 9.8539 90.00 90.00 90.00
Sites, in units of the cell vectors:
Mg1 0.0000 0.0000 0.0000
Mg2 0.5000 0.5000 0.5000
Zr1 0.0000 0.0000 0.5000
Zr2 0.0000 0.5000 0.7500
Zr3 0.5000 0.0000 0.2500
Zr4 0.5000 0.5000 0.0000
Cl1 0.0000 0.5000 0.2500
Cl2 0.5000 0.0000 0.7500

Summary:
space group = I-4m2 (119)
energy relative to the lowest polymorph listed for this composition = 680 meV/atom

=====

Material: K2SiRu
Method: DFT, PBE
State: relaxed

Lattice parameters (Å, degrees): 3.9716 3.9860 11.0990 90.00 90.00 90.00
Sites, in units of the cell vectors:
K1 0.0000 0.0000 0.2481
K2 0.0000 0.0000 0.7519
K3 0.5000 0.5000 0.2481
K4 0.5000 0.5000 0.7519
Si1 0.0000 0.5000 0.5000
Si2 0.5000 0.0000 0.5000
Ru1 0.0000 0.5000 0.0000
Ru2 0.5000 0.0000 0.0000

Summary:
space group = Cmmm (65)
uncorrected energy = -0.119 hartree per atom

=====

Ordered M_tot results: 0.00 0.00 0.00 0.00 0.00 0.00 0.00 0.00 0.00 0.00 1.07 0.00 0.00 2.00 0.00 0.00 0.00 4.00 0.00 1.16; unit μB per cell.
Ordered D(E_F) results: 0.865 0.779 0.292 1.514 1.262 0.569 0.203 0.441 0.432 1.321 0.811 0.902 0.404 0.278 0.304 0.623 1.298 0.000 1.196 0.946; unit states/eV per atom.
Ordered mass density results: 8.314 6.623 6.172 7.675 4.031 8.127 6.567 4.487 6.545 7.602 4.317 6.883 4.582 2.696 10.171 4.802 8.510 1.878 4.676 3.919; unit g/cm3.